Here is TiPtNO2 after structural relaxation from the Alexandria database. Energies are from GGA-PBE.

POSCAR file:
```
TiPtNO2
1.0
3.752 0.000 0.000
0.000 3.752 0.000
0.000 0.000 4.202
N O Pt Ti
1 2 1 1
direct
0.000 0.000 0.500
0.000 0.500 0.000
0.500 0.000 0.000
0.500 0.500 0.500
0.000 0.000 0.000
```

Values from the calculation:
VASP energy: -0.2519 hartree per atom
formation energy (no corrections): -2.10 eV per formula unit
D(E_F): 5.82 states/eV/f.u.